Record 1
Zr2Mo, optimized geometry, DFT PBE; SG = Cmcm (63); crystal system = orthorhombic; energy relative to the lowest polymorph listed for this composition = 0.002 eV per atom; E = -9.296 eV/atom; formation energy from the elements = 0.0186 eV per atom
1.0
1.696 -7.165 0.000
1.696 7.165 0.000
0.000 0.000 5.020
Zr Mo
4 2
Direct
0.075 0.925 0.750
0.229 0.771 0.250
0.771 0.229 0.750
0.925 0.075 0.250
0.421 0.579 0.750
0.579 0.421 0.250

***

Record 2
Cd2Co9, optimized geometry, DFT PBE; SG = P-3m1 (164); crystal system = trigonal; E = -5.702 eV/atom; formation energy from the elements = 0.2754 eV per atom
1.0
2.599 0.000 0.000
-1.299 2.250 0.000
0.000 0.000 34.362
Cd Co
2 9
Direct
0.333 0.667 0.300
0.667 0.333 0.700
0.000 0.000 0.000
0.000 0.000 0.172
0.000 0.000 0.828
0.333 0.667 0.114
0.333 0.667 0.773
0.333 0.667 0.943
0.667 0.333 0.057
0.667 0.333 0.227
0.667 0.333 0.886

***

Record 3
PtO, optimized geometry, DFT PBE; SG = F-43m (216); crystal system = cubic; E = -4.890 eV/atom
1.0
0.000 2.454 2.454
2.454 0.000 2.454
2.454 2.454 0.000
Pt O
1 1
Direct
0.000 0.000 0.000
0.250 0.250 0.250

***

Record 4
Ag2Pt2O5, optimized geometry, DFT PBE; SG = P4/mmm (123); crystal system = tetragonal; energy relative to the lowest polymorph listed for this composition = 0.000 eV per atom; E = -4.684 eV/atom
1.0
3.854 0.000 0.000
0.000 3.854 0.000
0.000 0.000 8.207
Ag Pt O
2 2 5
Direct
0.000 0.000 0.000
0.000 0.000 0.500
0.500 0.500 0.242
0.500 0.500 0.758
0.000 0.500 0.185
0.000 0.500 0.815
0.500 0.000 0.185
0.500 0.000 0.815
0.500 0.500 0.500

***

Record 5
PrBeAsO, optimized geometry, DFT PBE; SG = P4/nmm (129); crystal system = tetragonal; energy relative to the lowest polymorph listed for this composition = 1.434 eV per atom; E = -4.851 eV/atom
1.0
3.900 0.000 0.000
0.000 3.900 0.000
0.000 0.000 9.829
Pr Be As O
2 2 2 2
Direct
0.250 0.750 0.000
0.750 0.250 0.000
0.250 0.250 0.488
0.750 0.750 0.512
0.250 0.250 0.232
0.750 0.750 0.768
0.250 0.750 0.500
0.750 0.250 0.500

***

Record 6
MgAg2Sn, optimized geometry, DFT PBE; SG = F-43m (216); crystal system = cubic; E = -2.848 eV/atom
1.0
0.000 3.409 3.409
3.409 0.000 3.409
3.409 3.409 0.000
Mg Ag Sn
1 2 1
Direct
0.000 0.000 0.000
0.250 0.250 0.250
0.500 0.500 0.500
0.750 0.750 0.750

***

Record 7
Y4CoAsC2, optimized geometry, DFT PBE; SG = P-6m2 (187); crystal system = hexagonal; E = -7.336 eV/atom
1.0
3.621 0.000 0.000
-1.811 3.136 0.000
0.000 0.000 13.910
Y Co As C
4 1 1 2
Direct
0.000 0.000 0.147
0.000 0.000 0.853
0.333 0.667 0.343
0.333 0.667 0.657
0.333 0.667 0.000
0.000 0.000 0.500
0.667 0.333 0.247
0.667 0.333 0.753

***

Record 8
DyTm2N3, optimized geometry, DFT PBE; SG = P-3m1 (164); crystal system = trigonal; E = -8.204 eV/atom
1.0
3.411 0.000 0.000
-1.706 2.954 0.000
0.000 0.000 8.354
Dy Tm N
1 2 3
Direct
0.000 0.000 0.000
0.333 0.667 0.335
0.667 0.333 0.665
0.000 0.000 0.500
0.333 0.667 0.830
0.667 0.333 0.170

***

Record 9
ScTlCoHg, optimized geometry, DFT PBE; SG = F-43m (216); crystal system = cubic; energy relative to the lowest polymorph listed for this composition = 0.074 eV per atom; E = -3.887 eV/atom
1.0
0.000 3.379 3.379
3.379 0.000 3.379
3.379 3.379 0.000
Sc Tl Co Hg
1 1 1 1
Direct
0.000 0.000 0.000
0.500 0.500 0.500
0.750 0.750 0.750
0.250 0.250 0.250

***

Record 10
DyMg2Pd, optimized geometry, DFT PBE; SG = Pmm2 (25); crystal system = orthorhombic; E = -3.527 eV/atom
1.0
4.325 0.000 0.000
0.000 4.444 0.000
0.000 0.000 4.318
Dy Mg Pd
1 2 1
Direct
0.000 0.000 0.000
0.000 0.500 0.497
0.500 0.500 0.992
0.500 0.000 0.496

***

Record 11
TeOsPb2O6, optimized geometry, DFT PBE; SG = I4/mmm (139); crystal system = tetragonal; E = -5.964 eV/atom
1.0
-2.908 2.908 4.130
2.908 -2.908 4.130
2.908 2.908 -4.130
Te Os Pb O
1 1 2 6
Direct
0.000 0.000 0.000
0.500 0.500 0.000
0.250 0.750 0.500
0.750 0.250 0.500
0.258 0.258 0.000
0.258 0.258 0.515
0.258 0.742 0.000
0.742 0.258 0.000
0.742 0.742 0.000
0.742 0.742 0.485

***

Record 12
Lu2FeSiGe, optimized geometry, DFT PBE; SG = C2/m (12); crystal system = monoclinic; energy relative to the lowest polymorph listed for this composition = 0.000 eV per atom; E = -6.217 eV/atom
1.0
5.131 -2.046 0.000
5.131 2.046 0.000
-4.733 0.000 8.680
Lu Fe Si Ge
4 2 2 2
Direct
0.001 0.001 0.333
0.187 0.187 0.113
0.813 0.813 0.887
0.999 0.999 0.667
0.268 0.268 0.622
0.732 0.732 0.378
0.349 0.349 0.436
0.651 0.651 0.564
0.489 0.489 0.128
0.511 0.511 0.872

***

Record 13
BePOsO, optimized geometry, DFT PBE; SG = P4/nmm (129); crystal system = tetragonal; energy relative to the lowest polymorph listed for this composition = 0.000 eV per atom; E = -7.200 eV/atom
1.0
3.618 0.000 0.000
0.000 3.618 0.000
0.000 0.000 8.362
Be P Os O
2 2 2 2
Direct
0.250 0.250 0.016
0.750 0.750 0.984
0.250 0.250 0.315
0.750 0.750 0.685
0.250 0.750 0.500
0.750 0.250 0.500
0.250 0.750 0.000
0.750 0.250 0.000

***

Record 14
Rb3TlAs2Au2, optimized geometry, DFT PBE; SG = Pm (6); crystal system = monoclinic; E = -3.022 eV/atom
1.0
6.411 0.000 0.000
0.000 6.550 0.000
-1.813 0.000 6.209
Rb Tl As Au
3 1 2 2
Direct
0.000 0.000 0.000
0.060 0.500 0.358
0.365 0.000 0.673
0.699 0.500 0.690
0.318 0.500 0.927
0.787 0.000 0.444
0.540 0.252 0.198
0.540 0.748 0.198

***

Record 15
AcEr, optimized geometry, DFT PBE; SG = P6_3/mmc (194); crystal system = hexagonal; energy relative to the lowest polymorph listed for this composition = 1.122 eV per atom; E = -3.101 eV/atom; formation energy from the elements = 1.2334 eV per atom
1.0
6.074 0.000 0.000
-3.037 5.261 0.000
0.000 0.000 6.754
Ac Er
2 2
Direct
0.333 0.667 0.250
0.667 0.333 0.750
0.333 0.667 0.750
0.667 0.333 0.250

***

Record 16
NaAg, optimized geometry, DFT PBE; SG = F-43m (216); crystal system = cubic; E = -1.676 eV/atom
1.0
0.000 3.277 3.277
3.277 0.000 3.277
3.277 3.277 0.000
Na Ag
1 1
Direct
0.000 0.000 0.000
0.250 0.250 0.250

***

Record 17
Cd2O, optimized geometry, DFT PBE; SG = Fd-3m (227); crystal system = cubic; energy relative to the lowest polymorph listed for this composition = 0.283 eV per atom; E = -2.351 eV/atom
1.0
0.000 5.078 5.078
5.078 0.000 5.078
5.078 5.078 0.000
Cd O
4 2
Direct
0.000 0.000 0.000
0.000 0.000 0.500
0.000 0.500 0.000
0.500 0.000 0.000
0.125 0.125 0.125
0.875 0.875 0.875

***

Record 18
AlFeIr, optimized geometry, DFT PBE; SG = F-43m (216); crystal system = cubic; E = -7.120 eV/atom
1.0
0.000 2.855 2.855
2.855 0.000 2.855
2.855 2.855 0.000
Al Fe Ir
1 1 1
Direct
0.000 0.000 0.000
0.500 0.500 0.500
0.250 0.250 0.250

***

Record 19
BiPt, optimized geometry, DFT PBE; SG = Pmma (51); crystal system = orthorhombic; E = -5.234 eV/atom
1.0
5.707 0.000 0.000
0.000 4.142 0.000
0.000 0.000 7.933
Bi Pt
4 4
Direct
0.250 0.000 0.098
0.250 0.500 0.702
0.750 0.000 0.902
0.750 0.500 0.298
0.000 0.000 0.500
0.250 0.500 0.328
0.500 0.000 0.500
0.750 0.500 0.672

***

Record 20
CoSi3, optimized geometry, DFT PBE; SG = Fm-3m (225); crystal system = cubic; E = -5.567 eV/atom
1.0
0.000 2.929 2.929
2.929 0.000 2.929
2.929 2.929 0.000
Co Si
1 3
Direct
0.000 0.000 0.000
0.250 0.250 0.250
0.500 0.500 0.500
0.750 0.750 0.750